SmAl3ZnCo: optimized geometry, PBE.

Cell: 6.866 6.866 5.717 Å, 90.00 90.00 126.67°
Element x y z (fractional)
Sm1 0.228 0.772 0.750
Sm2 0.772 0.228 0.250
Al1 0.211 0.211 0.000
Al2 0.211 0.211 0.500
Al3 0.366 0.634 0.250
Al4 0.634 0.366 0.750
Al5 0.789 0.789 0.000
Al6 0.789 0.789 0.500
Zn1 0.153 0.847 0.250
Zn2 0.847 0.153 0.750
Co1 0.439 0.561 0.750
Co2 0.561 0.439 0.250

## Properties
The calculated formation energy comes out at -232 meV/atom. The calculation puts the mass density at 5.46 g/cm3.